NaPuV2O8, relaxed, DFT PBE+U; theoretical density = 5.0 g cm⁻³; electronic total energy = -7.909 eV per atom; D(E_F) = 0.7206 states/eV per atom; space group = I-4m2, No. 119
1.0
-3.5993 3.5993 3.1552
3.5993 -3.5993 3.1552
3.5993 3.5993 -3.1552
Na Pu V O
1 1 2 8
direct
0.0000 0.0000 0.0000 Na
0.2500 0.7500 0.5000 Pu
0.5000 0.5000 0.0000 V
0.7500 0.2500 0.5000 V
0.3388 0.1419 0.8031 O
0.3388 0.5358 0.1969 O
0.3852 0.0622 0.3230 O
0.4642 0.6612 0.8031 O
0.7393 0.0622 0.6770 O
0.8581 0.6612 0.1969 O
0.9378 0.2607 0.3230 O
0.9378 0.6148 0.6770 O